A plane-wave DFT calculation with PBE was carried out for an optimized crystal structure of Ce2DyTlCo.

The energy relative to the elements is -0.237 eV/atom. Its density is 8.7 g/cm³.

The structure in CIF format:
```
data_Ce2DyTlCo
_cell_length_a 4.955
_cell_length_b 4.955
_cell_length_c 5.510
_cell_angle_alpha 90.00
_cell_angle_beta 90.00
_cell_angle_gamma 90.00
_space_group_name_H-M_alt 'P 4/m m m'
_space_group_IT_number 123
_space_group_name_Hall '-P 4 2'
loop_
_atom_site_label
_atom_site_fract_x
_atom_site_fract_y
_atom_site_fract_z
Ce1 0.000 0.500 0.000
Dy1 0.000 0.000 0.500
Tl1 0.500 0.500 0.500
Co1 0.000 0.000 0.000
```